# 1
Entry from Alexandria via LeMat-Bulk: a relaxed structure of SrLaRe2 (PBE).

Energy relative to the lowest polymorph listed for this composition   0.859 eV per atom
Formation energy   1.08 eV per atom
Volume   21.3 Å³/atom
Magnetic moment   0.00 μB per formula unit
Theoretical density   11.66 Mg/m³
E   -6.792 eV/atom

```
data_SrLaRe2
_cell_length_a 2.837
_cell_length_b 2.837
_cell_length_c 10.603
_cell_angle_alpha 90.00
_cell_angle_beta 90.00
_cell_angle_gamma 90.00
_space_group_name_H-M_alt 'P 4/m m m'
_space_group_IT_number 123
_space_group_name_Hall '-P 4 2'
loop_
_atom_site_label
_atom_site_fract_x
_atom_site_fract_y
_atom_site_fract_z
Sr1 0.000 0.000 0.000
La1 0.000 0.000 0.500
Re1 0.500 0.500 0.251
```

***

# 2
Entry from Alexandria via LeMat-Bulk: a relaxed structure of Sn3BiSb (PBE).

Uncorrected formation energy   0.579 eV/atom
Energy relative to the lowest polymorph listed for this composition   0.000 eV per atom
Volume   37.5 Å³/atom
Magnetic moment   0.00 μB per formula unit
Theoretical density   6.08 Mg/m³
E   -3.423 eV/atom

```
data_Sn3BiSb
_cell_length_a 5.724
_cell_length_b 5.724
_cell_length_c 5.724
_cell_angle_alpha 90.00
_cell_angle_beta 90.00
_cell_angle_gamma 90.00
_space_group_name_H-M_alt 'P m -3 m'
_space_group_IT_number 221
_space_group_name_Hall '-P 4 2 3'
loop_
_atom_site_label
_atom_site_fract_x
_atom_site_fract_y
_atom_site_fract_z
Sn1 0.000 0.000 0.500
Bi1 0.500 0.500 0.500
Sb1 0.000 0.000 0.000
```